[1]
AlCu2Ir | PBE | optimized geometry

Values from the calculation:
DFT total energy (eV/cell): -21.28
Fermi-level density of states (states/eV/atom): 0.662
Energy relative to the elements (eV per formula unit): -0.5

abc: 2.736 3.780 5.150
angles: 90.00 90.00 90.00
Fractional coordinates of all 4 atoms:
Ir 0.500 0.500 0.250
Al 0.500 0.500 0.750
Cu 0.000 0.000 0.998
Cu 0.000 0.000 0.502

---

[2]
Al2CuIr | PBE | optimized geometry

Values from the calculation:
DFT total energy (eV/cell): -21.82
Fermi-level density of states (states/eV/atom): 0.277
Energy relative to the elements (eV per formula unit): -1.4

abc: 4.054 4.054 5.012
angles: 66.14 66.14 60.00
Fractional coordinates of all 4 atoms:
Al 0.063 0.063 0.810
Al 0.267 0.267 0.198
Cu 0.485 0.485 0.544
Ir 0.684 0.684 0.948

---

Among the records above, which one has the lowest energy relative to the elements?
Al2CuIr

---

Which of these has the lowest Fermi-level density of states?
Al2CuIr